<w>
! NpZnTc, optimized geometry, DFT GGA-PBE; values from VASP
&SYSTEM
  ibrav = 0, nat = 3, ntyp = 3
/
ATOMIC_SPECIES
Np 237.00 Np.upf
Zn 65.41 Zn.upf
Tc 98.00 Tc.upf
CELL_PARAMETERS angstrom
-0.2982 2.1767 1.6821
-1.2505 -2.3942 0.6006
6.1357 -2.2134 3.9518
ATOMIC_POSITIONS angstrom
Np 3.1377 -2.3391 3.5830
Zn 0.1312 -0.0473 0.0845
Tc 1.3182 -0.0445 2.5671
! Density of states at the Fermi level, states/eV per atom: 1.69
! M_tot, μB per formula unit: 2.75

=====

<x>
! NpZnTc, optimized geometry, DFT GGA-PBE; values from VASP
&SYSTEM
  ibrav = 0, nat = 3, ntyp = 3
/
ATOMIC_SPECIES
Np 237.00 Np.upf
Zn 65.41 Zn.upf
Tc 98.00 Tc.upf
CELL_PARAMETERS angstrom
3.1426 0.0000 0.0000
0.0000 3.1426 0.0000
-1.5713 -1.5713 5.5374
ATOMIC_POSITIONS angstrom
Np 0.0000 0.0000 3.4672
Zn 0.0000 0.0000 0.2608
Tc 1.5713 1.5713 1.8094
! Density of states at the Fermi level, states/eV per atom: 1.40
! M_tot, μB per formula unit: 2.53

=====

<x> is the most stable structure; the next one sits 0.070 eV/atom above it.

=====

<w>
! ZrNpTc2, optimized geometry, DFT GGA-PBE; values from VASP
&SYSTEM
  ibrav = 0, nat = 4, ntyp = 3
/
ATOMIC_SPECIES
Np 237.00 Np.upf
Tc 98.00 Tc.upf
Zr 91.22 Zr.upf
CELL_PARAMETERS angstrom
-2.6235 1.9768 0.4369
-1.0537 -1.9439 2.4682
3.4658 3.6394 4.3459
ATOMIC_POSITIONS angstrom
Np -1.8386 0.0164 1.4525
Tc 2.6348 2.7667 3.3038
Tc 0.8310 0.8727 1.0421
Zr -0.1057 1.8361 3.6255
! Density of states at the Fermi level, states/eV per atom: 1.33
! M_tot, μB per formula unit: 2.41

=====

<x>
! ZrNpTc2, optimized geometry, DFT GGA-PBE; values from VASP
&SYSTEM
  ibrav = 0, nat = 4, ntyp = 3
/
ATOMIC_SPECIES
Np 237.00 Np.upf
Tc 98.00 Tc.upf
Zr 91.22 Zr.upf
CELL_PARAMETERS angstrom
4.6985 0.0000 0.0000
2.3492 4.0690 0.0000
2.3492 1.3563 3.8363
ATOMIC_POSITIONS angstrom
Np 0.0000 0.0000 0.0000
Tc 2.3492 1.3563 0.9591
Tc 7.0477 4.0690 2.8772
Zr 4.6985 2.7127 1.9181
! Density of states at the Fermi level, states/eV per atom: 1.50
! M_tot, μB per formula unit: 2.92

=====

<w> is the most stable structure; the next one sits 0.021 eV/atom above it.

=====

<w>
! NpTlTe3, optimized geometry, DFT GGA-PBE; values from VASP
&SYSTEM
  ibrav = 0, nat = 5, ntyp = 3
/
ATOMIC_SPECIES
Np 237.00 Np.upf
Tl 204.38 Tl.upf
Te 127.60 Te.upf
CELL_PARAMETERS angstrom
-1.8551 -5.4666 0.9718
3.4999 -1.9468 -4.2697
4.3103 -0.7721 3.8852
ATOMIC_POSITIONS angstrom
Np 0.0000 0.0000 0.0000
Tl 2.9776 -4.0927 0.2936
Te 1.7500 -0.9734 -2.1349
Te 2.1552 -0.3860 1.9426
Te -0.9276 -2.7333 0.4859
! Density of states at the Fermi level, states/eV per atom: 1.99
! M_tot, μB per formula unit: 2.14

=====

<x>
! NpTlTe3, optimized geometry, DFT GGA-PBE; values from VASP
&SYSTEM
  ibrav = 0, nat = 10, ntyp = 3
/
ATOMIC_SPECIES
Np 237.00 Np.upf
Tl 204.38 Tl.upf
Te 127.60 Te.upf
CELL_PARAMETERS angstrom
-0.8384 -1.7987 -3.6669
-5.5921 -5.8596 4.1528
-6.8839 5.7028 -1.2233
ATOMIC_POSITIONS angstrom
Np -8.7931 2.7914 -2.9144
Np -4.5214 -4.7468 2.1770
Tl -4.9716 -0.3744 -2.2354
Tl -8.3428 -1.5810 1.4980
Te -3.8278 -1.9996 0.6708
Te -9.4867 0.0441 -1.4082
Te -1.7766 0.1497 -0.8524
Te -11.5378 -2.1052 0.1150
Te -6.7205 2.3211 -0.7871
Te -6.5939 -4.2765 0.0497
! Density of states at the Fermi level, states/eV per atom: 2.21
! M_tot, μB per formula unit: 2.96

=====

<x> is the most stable structure; the next one sits 0.089 eV/atom above it.

=====

<w>
! TmNpTe2, optimized geometry, DFT GGA-PBE; values from VASP
&SYSTEM
  ibrav = 0, nat = 4, ntyp = 3
/
ATOMIC_SPECIES
Np 237.00 Np.upf
Tm 168.93 Tm.upf
Te 127.60 Te.upf
CELL_PARAMETERS angstrom
4.1281 0.0000 0.0000
2.0641 3.5751 0.0000
2.0641 1.1917 9.8150
ATOMIC_POSITIONS angstrom
Np 4.1281 2.3834 4.9075
Tm 0.0000 0.0000 0.0000
Te 2.0641 1.1917 6.8599
Te 6.1922 3.5751 2.9551
! Density of states at the Fermi level, states/eV per atom: 2.63
! M_tot, μB per formula unit: 4.31

=====

<x>
! TmNpTe2, optimized geometry, DFT GGA-PBE; values from VASP
&SYSTEM
  ibrav = 0, nat = 4, ntyp = 3
/
ATOMIC_SPECIES
Np 237.00 Np.upf
Tm 168.93 Tm.upf
Te 127.60 Te.upf
CELL_PARAMETERS angstrom
3.7444 0.0000 0.0000
0.0000 5.3307 0.0000
0.0000 0.0000 5.3307
ATOMIC_POSITIONS angstrom
Np 1.8722 0.0000 0.0000
Tm 1.8722 2.6653 2.6653
Te 0.0000 0.0000 2.6653
Te 0.0000 2.6653 0.0000
! Density of states at the Fermi level, states/eV per atom: 2.38
! M_tot, μB per formula unit: 5.46

=====

<x> is the most stable structure; the next one sits 0.399 eV/atom above it.

=====

<w>
! YNpTe2, optimized geometry, DFT GGA-PBE; values from VASP
&SYSTEM
  ibrav = 0, nat = 4, ntyp = 3
/
ATOMIC_SPECIES
Np 237.00 Np.upf
Y 88.91 Y.upf
Te 127.60 Te.upf
CELL_PARAMETERS angstrom
-2.1175 1.1771 3.3988
-4.1647 -0.2689 0.0613
-1.4525 -8.8222 4.7132
ATOMIC_POSITIONS angstrom
Np -3.8674 -3.9570 4.0866
Y 0.0000 0.0000 0.0000
Te -1.6476 -6.0480 3.6309
Te -6.0872 -1.8660 4.5423
! Density of states at the Fermi level, states/eV per atom: 2.71
! M_tot, μB per formula unit: 4.30

=====

<x>
! YNpTe2, optimized geometry, DFT GGA-PBE; values from VASP
&SYSTEM
  ibrav = 0, nat = 4, ntyp = 3
/
ATOMIC_SPECIES
Np 237.00 Np.upf
Y 88.91 Y.upf
Te 127.60 Te.upf
CELL_PARAMETERS angstrom
3.7687 0.0000 0.0000
0.0000 3.7687 0.0000
0.0000 0.0000 7.6247
ATOMIC_POSITIONS angstrom
Np 1.8843 1.8843 3.8123
Y 1.8843 1.8843 0.0000
Te 0.0000 0.0000 5.7339
Te 0.0000 0.0000 1.8907
! Density of states at the Fermi level, states/eV per atom: 2.07
! M_tot, μB per formula unit: 5.48

=====

<x> is the most stable structure; the next one sits 0.437 eV/atom above it.

=====

<w>
! ZrNpTe2, optimized geometry, DFT GGA-PBE; values from VASP
&SYSTEM
  ibrav = 0, nat = 4, ntyp = 3
/
ATOMIC_SPECIES
Np 237.00 Np.upf
Te 127.60 Te.upf
Zr 91.22 Zr.upf
CELL_PARAMETERS angstrom
-0.9618 -0.5093 3.6373
-0.2086 -3.5088 1.4350
9.1907 -0.8444 4.2936
ATOMIC_POSITIONS angstrom
Np 4.0102 -2.4313 4.6830
Te 6.4762 -0.9846 3.5562
Te 1.5441 -3.8779 5.8098
Zr 0.0000 0.0000 0.0000
! Density of states at the Fermi level, states/eV per atom: 2.49
! M_tot, μB per formula unit: 4.65

=====

<x>
! ZrNpTe2, optimized geometry, DFT GGA-PBE; values from VASP
&SYSTEM
  ibrav = 0, nat = 4, ntyp = 3
/
ATOMIC_SPECIES
Np 237.00 Np.upf
Te 127.60 Te.upf
Zr 91.22 Zr.upf
CELL_PARAMETERS angstrom
-0.1790 1.1448 -3.4401
3.3934 -1.1598 -0.5626
-2.6386 -6.7044 -2.0938
ATOMIC_POSITIONS angstrom
Np 0.2879 -3.3597 -3.0482
Te -2.0281 -5.1532 -1.6094
Te -0.6105 -1.5512 -0.4844
Zr 1.6072 -0.0075 -2.0013
! Density of states at the Fermi level, states/eV per atom: 1.72
! M_tot, μB per formula unit: 4.91

=====

<x> is the most stable structure; the next one sits 0.599 eV/atom above it.

=====

<w>
! NpTiV, optimized geometry, DFT GGA-PBE; values from VASP
&SYSTEM
  ibrav = 0, nat = 3, ntyp = 3
/
ATOMIC_SPECIES
Np 237.00 Np.upf
Ti 47.87 Ti.upf
V 50.94 V.upf
CELL_PARAMETERS angstrom
-2.0497 -0.4959 1.4819
0.7806 -2.4424 0.2624
4.4674 3.3306 5.0522
ATOMIC_POSITIONS angstrom
Np 2.1580 1.0481 3.3355
Ti 3.5304 1.7146 5.4569
V 0.8274 0.4019 1.2789
! Density of states at the Fermi level, states/eV per atom: 1.99
! M_tot, μB per formula unit: 0.00

=====

<x>
! NpTiV, optimized geometry, DFT GGA-PBE; values from VASP
&SYSTEM
  ibrav = 0, nat = 6, ntyp = 3
/
ATOMIC_SPECIES
Ti 47.87 Ti.upf
Np 237.00 Np.upf
V 50.94 V.upf
CELL_PARAMETERS angstrom
5.2953 0.0234 0.0458
-0.5744 5.2985 0.3027
-2.0126 -2.4065 3.3651
ATOMIC_POSITIONS angstrom
Ti 1.8575 3.9942 0.8277
Ti 0.8508 -1.0788 2.8860
Np 0.0000 0.0000 0.0000
Np 1.3542 1.4577 1.8569
V -0.9854 2.6847 1.3332
V 3.6937 0.2306 2.3805
! Density of states at the Fermi level, states/eV per atom: 2.16
! M_tot, μB per formula unit: 2.24

=====

<x> is the most stable structure; the next one sits 0.275 eV/atom above it.

=====

<w>
! Zr2NpTl, optimized geometry, DFT GGA-PBE; values from VASP
&SYSTEM
  ibrav = 0, nat = 4, ntyp = 3
/
ATOMIC_SPECIES
Np 237.00 Np.upf
Tl 204.38 Tl.upf
Zr 91.22 Zr.upf
CELL_PARAMETERS angstrom
4.1057 0.0000 0.0000
0.0000 4.7361 0.0000
0.0000 0.0000 4.7361
ATOMIC_POSITIONS angstrom
Np 2.0529 0.0000 0.0000
Tl 2.0529 2.3681 2.3681
Zr 0.0000 0.0000 2.3681
Zr 0.0000 2.3681 0.0000
! Density of states at the Fermi level, states/eV per atom: 2.10
! M_tot, μB per formula unit: 4.45

=====

<x>
! Zr2NpTl, optimized geometry, DFT GGA-PBE; values from VASP
&SYSTEM
  ibrav = 0, nat = 4, ntyp = 3
/
ATOMIC_SPECIES
Np 237.00 Np.upf
Tl 204.38 Tl.upf
Zr 91.22 Zr.upf
CELL_PARAMETERS angstrom
-0.3808 -1.3057 -3.0075
-1.4886 -2.9248 -0.3530
-9.5523 3.2417 -2.0092
ATOMIC_POSITIONS angstrom
Np 0.0000 0.0000 0.0000
Tl -5.7108 -0.4944 -2.6849
Zr -2.8360 -0.2573 -1.3405
Zr -8.5856 -0.7315 -4.0293
! Density of states at the Fermi level, states/eV per atom: 1.82
! M_tot, μB per formula unit: 4.05

=====

<w> is the most stable structure; the next one sits 0.049 eV/atom above it.

=====

<w>
! TmZr2Np, optimized geometry, DFT GGA-PBE; values from VASP
&SYSTEM
  ibrav = 0, nat = 4, ntyp = 3
/
ATOMIC_SPECIES
Np 237.00 Np.upf
Tm 168.93 Tm.upf
Zr 91.22 Zr.upf
CELL_PARAMETERS angstrom
3.7522 0.0000 0.0000
0.0000 3.7522 0.0000
0.0000 0.0000 7.0526
ATOMIC_POSITIONS angstrom
Np 1.8761 1.8761 0.0000
Tm 1.8761 1.8761 3.5263
Zr 0.0000 0.0000 5.5549
Zr 0.0000 0.0000 1.4977
! Density of states at the Fermi level, states/eV per atom: 2.35
! M_tot, μB per formula unit: 3.67

=====

<x>
! TmZr2Np, optimized geometry, DFT GGA-PBE; values from VASP
&SYSTEM
  ibrav = 0, nat = 4, ntyp = 3
/
ATOMIC_SPECIES
Np 237.00 Np.upf
Tm 168.93 Tm.upf
Zr 91.22 Zr.upf
CELL_PARAMETERS angstrom
-0.3076 2.5416 -2.0195
1.3165 -0.1174 -2.9809
-8.7534 -3.3516 -5.5173
ATOMIC_POSITIONS angstrom
Np 0.0000 0.0000 0.0000
Tm -3.8723 -0.4637 -5.2589
Zr -1.8606 -0.1973 -2.5974
Zr -5.8840 -0.7302 -7.9203
! Density of states at the Fermi level, states/eV per atom: 2.28
! M_tot, μB per formula unit: 3.78

=====

<x> is the most stable structure; the next one sits 0.031 eV/atom above it.

=====

<w>
! NpUZn4, optimized geometry, DFT GGA-PBE; values from VASP
&SYSTEM
  ibrav = 0, nat = 6, ntyp = 3
/
ATOMIC_SPECIES
Np 237.00 Np.upf
Zn 65.41 Zn.upf
U 238.03 U.upf
CELL_PARAMETERS angstrom
5.3607 0.0000 0.0000
2.6803 4.6425 0.0000
2.6803 1.5475 4.3770
ATOMIC_POSITIONS angstrom
Np 2.6803 1.5475 1.0942
Zn 5.3607 3.0950 0.5504
Zn 5.3607 1.5506 2.7345
Zn 6.6982 3.8672 2.7345
Zn 4.0232 3.8672 2.7345
U 0.0000 0.0000 0.0000
! Density of states at the Fermi level, states/eV per atom: 1.58
! M_tot, μB per formula unit: 6.55

=====

<x>
! NpUZn4, optimized geometry, DFT GGA-PBE; values from VASP
&SYSTEM
  ibrav = 0, nat = 12, ntyp = 3
/
ATOMIC_SPECIES
Np 237.00 Np.upf
U 238.03 U.upf
Zn 65.41 Zn.upf
CELL_PARAMETERS angstrom
4.7442 -0.0016 0.0005
0.0016 5.3060 1.9235
-0.0009 -0.1522 8.6999
ATOMIC_POSITIONS angstrom
Np 3.5589 3.2770 3.3776
Np 1.1859 1.8752 7.2463
U 3.5581 0.6230 2.4184
U 1.1867 4.5292 8.2054
Zn 1.1870 4.1370 5.1484
Zn 1.1875 5.0732 2.5674
Zn 3.5587 3.6689 6.4375
Zn 3.5581 2.7336 9.0189
Zn 3.5579 1.0152 5.4755
Zn 1.1861 1.4833 4.1864
Zn 3.5573 0.0790 8.0565
Zn 1.1867 2.4186 1.6050
! Density of states at the Fermi level, states/eV per atom: 0.79
! M_tot, μB per formula unit: 7.22

=====

<x> is the most stable structure; the next one sits 0.093 eV/atom above it.

=====

<w>
! NpV3, optimized geometry, DFT GGA-PBE; values from VASP
&SYSTEM
  ibrav = 0, nat = 4, ntyp = 2
/
ATOMIC_SPECIES
Np 237.00 Np.upf
V 50.94 V.upf
CELL_PARAMETERS angstrom
-2.2372 2.0947 3.1389
-0.6822 -1.9409 3.8746
2.0805 1.4539 3.5782
ATOMIC_POSITIONS angstrom
Np -0.4195 0.8038 5.2959
V 0.0000 0.0000 0.0000
V -0.6292 1.2058 7.9438
V -0.2097 0.4019 2.6479
! Density of states at the Fermi level, states/eV per atom: 1.64
! M_tot, μB per formula unit: 1.50

=====

<x>
! NpV3, optimized geometry, DFT GGA-PBE; values from VASP
&SYSTEM
  ibrav = 0, nat = 4, ntyp = 2
/
ATOMIC_SPECIES
Np 237.00 Np.upf
V 50.94 V.upf
CELL_PARAMETERS angstrom
-1.9494 0.5850 -1.4974
-3.2185 -1.3840 3.6492
2.6062 4.6600 0.5595
ATOMIC_POSITIONS angstrom
Np -0.1354 -0.0582 0.1535
V -0.8938 1.5958 1.7870
V -2.7859 -0.4864 1.3049
V -0.2577 2.8716 -0.6746
! Density of states at the Fermi level, states/eV per atom: 1.69
! M_tot, μB per formula unit: 0.00

=====

<y>
! NpV3, optimized geometry, DFT GGA-PBE; values from VASP
&SYSTEM
  ibrav = 0, nat = 4, ntyp = 2
/
ATOMIC_SPECIES
Np 237.00 Np.upf
V 50.94 V.upf
CELL_PARAMETERS angstrom
-2.7010 -0.1673 1.4387
-1.3439 -3.0744 -2.8806
1.6020 -3.1725 2.6386
ATOMIC_POSITIONS angstrom
Np -0.1122 -0.2567 -0.2406
V -2.1348 -1.8778 -0.9616
V -0.6611 -1.9251 1.7995
V 0.0171 -3.3794 -0.3608
! Density of states at the Fermi level, states/eV per atom: 1.84
! M_tot, μB per formula unit: 2.32

=====

<w> is the most stable structure; the next one sits 0.013 eV/atom above it.

=====

<w>
! Zr3Np, optimized geometry, DFT GGA-PBE; values from VASP
&SYSTEM
  ibrav = 0, nat = 4, ntyp = 2
/
ATOMIC_SPECIES
Np 237.00 Np.upf
Zr 91.22 Zr.upf
CELL_PARAMETERS angstrom
-1.5481 -1.7882 -1.9353
4.3197 0.2655 -3.7007
0.7914 -3.5399 5.0508
ATOMIC_POSITIONS angstrom
Np 0.1194 0.0073 -0.1023
Zr 2.3578 -1.9990 -0.0390
Zr 1.5354 -0.7522 -2.9461
Zr -0.5038 -3.1686 0.9179
! Density of states at the Fermi level, states/eV per atom: 2.19
! M_tot, μB per formula unit: 4.01

=====

<x>
! Zr3Np, optimized geometry, DFT GGA-PBE; values from VASP
&SYSTEM
  ibrav = 0, nat = 4, ntyp = 2
/
ATOMIC_SPECIES
Np 237.00 Np.upf
Zr 91.22 Zr.upf
CELL_PARAMETERS angstrom
5.3085 0.0000 0.0000
0.0000 3.0639 0.0000
0.0000 0.0000 5.7001
ATOMIC_POSITIONS angstrom
Np 0.0000 0.0000 5.5436
Zr 0.0000 1.5320 2.7199
Zr 2.6543 1.5320 1.0876
Zr 2.6543 0.0000 3.9492
! Density of states at the Fermi level, states/eV per atom: 2.14
! M_tot, μB per formula unit: 3.89

=====

<x> is the most stable structure; the next one sits 0.006 eV/atom above it.